Here is a relaxed structure of Sm2Ga3Cu4Ge from the Alexandria database. Energies are from GGA-PBE.

Cell: 4.2172 4.2172 9.9728 Å, 90.00 90.00 90.00°
Last column: nearest neighbours and their distance in Å.
Atoms (fractional coordinates):
Sm1 0.0000 0.5000 0.2480  6 Ga 3.21-3.28, 8 Cu 3.22-3.25, 2 Ge 3.28
Sm2 0.5000 0.0000 0.7520  6 Ga 3.21-3.28, 8 Cu 3.22-3.25, 2 Ge 3.28
Ga1 0.0000 0.5000 0.8718  5 Cu 2.41-2.47
Ga2 0.5000 0.0000 0.1282  5 Cu 2.41-2.47
Ga3 0.5000 0.5000 0.5000  4 Cu 2.48
Cu1 0.0000 0.0000 0.0000  4 Ga 2.47
Cu2 0.0000 0.5000 0.6306  3 Ga 2.41-2.48, 2 Ge 2.48
Cu3 0.5000 0.0000 0.3694  3 Ga 2.41-2.48, 2 Ge 2.48
Cu4 0.5000 0.5000 0.0000  4 Ga 2.47
Ge1 0.0000 0.0000 0.5000  4 Cu 2.48

Computed properties:
magnetic moment	0.00	μB/atom
calculated total energy	-43.96	eV/f.u.
ΔE_f	-4.44	eV/f.u.
space-group type	P-4m2, No. 115